Record 1
A geometry-optimized K5Pt3C3 structure, computed with PBE.

abc: 9.358 9.358 3.832
angles: 90.00 90.00 120.00
Element x y z (fractional)
K (0.333, 0.667, 0.000)
K (0.000, 0.734, 0.000)
K (0.667, 0.333, 0.000)
K (0.266, 0.266, 0.000)
K (0.734, 0.000, 0.000)
Pt (0.637, 0.637, 0.500)
Pt (0.000, 0.363, 0.500)
Pt (0.363, 0.000, 0.500)
C (0.000, 0.364, 0.000)
C (0.364, 0.000, 0.000)
C (0.636, 0.636, 0.000)

- spin magnetization (μB/atom) = 0.00

Record 2
A geometry-optimized SmHfHg structure, computed with PBE.

abc: 4.956 4.956 4.956
angles: 60.00 60.00 60.00
Element x y z (fractional)
Hg (0.000, 0.000, 0.000)
Sm (0.750, 0.750, 0.750)
Hf (0.250, 0.250, 0.250)

- spin magnetization (μB/atom) = 0.35
- ΔH_f (0 K) (eV per atom) = 0.302
- energy above the lowest structure with this stoichiometry (meV per atom) = 0

Record 3
A geometry-optimized AsPAuO structure, computed with PBE.

abc: 4.412 4.412 7.603
angles: 90.00 90.00 90.00
Element x y z (fractional)
P (0.500, 0.000, 0.357)
P (0.000, 0.500, 0.643)
Au (0.500, 0.000, 0.960)
Au (0.000, 0.500, 0.040)
O (0.500, 0.500, 0.000)
O (0.000, 0.000, 0.000)
As (0.500, 0.500, 0.500)
As (0.000, 0.000, 0.500)

- energy above the lowest structure with this stoichiometry (meV per atom) = 532

Record 4
A geometry-optimized ZrB structure, computed with PBE.

abc: 7.489 3.169 4.859
angles: 90.00 90.00 90.00
Element x y z (fractional)
B (0.335, 0.000, 0.000)
B (0.663, 0.000, 0.500)
B (0.582, 0.500, 0.500)
B (0.254, 0.500, 0.000)
Zr (0.919, 0.500, 0.500)
Zr (0.998, 0.000, 0.000)
Zr (0.333, 0.000, 0.500)
Zr (0.584, 0.500, 0.000)

- spin magnetization (μB/atom) = 0.00

Record 5
A geometry-optimized GdMgZn structure, computed with PBE.

abc: 6.583 6.386 7.756
angles: 84.25 91.04 59.38
Element x y z (fractional)
Zn (0.760, 0.555, 0.939)
Zn (0.744, 0.022, 0.860)
Zn (0.327, 0.795, 0.535)
Zn (0.998, 0.557, 0.219)
Mg (0.888, 0.813, 0.533)
Mg (0.550, 0.008, 0.178)
Mg (0.312, 0.984, 0.852)
Mg (0.508, 0.551, 0.229)
Gd (0.358, 0.267, 0.507)
Gd (0.013, 0.066, 0.187)
Gd (0.247, 0.525, 0.889)
Gd (0.828, 0.347, 0.602)

- spin magnetization (μB/atom) = 0.00

Record 6
A geometry-optimized KNdSnSe3 structure, computed with PBE.

abc: 8.590 8.590 12.096
angles: 90.00 90.00 151.30
Element x y z (fractional)
K (0.175, 0.825, 0.750)
K (0.825, 0.175, 0.250)
Se (0.878, 0.122, 0.992)
Se (0.505, 0.495, 0.250)
Se (0.122, 0.878, 0.008)
Se (0.878, 0.122, 0.508)
Se (0.122, 0.878, 0.492)
Se (0.495, 0.505, 0.750)
Nd (0.500, 0.500, 0.500)
Nd (0.500, 0.500, 0.000)
Sn (0.884, 0.116, 0.750)
Sn (0.116, 0.884, 0.250)

- spin magnetization (μB/atom) = 0.00
- energy above the lowest structure with this stoichiometry (meV per atom) = 123

Record 7
A geometry-optimized RbErHgSe3 structure, computed with PBE.

abc: 9.442 9.442 9.370
angles: 101.85 101.85 25.70
Element x y z (fractional)
Rb (0.854, 0.854, 0.432)
Rb (0.146, 0.146, 0.568)
Se (0.500, 0.500, 0.500)
Se (0.672, 0.672, 0.870)
Se (0.328, 0.328, 0.130)
Se (0.332, 0.332, 0.722)
Se (0.668, 0.668, 0.278)
Se (0.000, 0.000, 0.000)
Hg (0.517, 0.517, 0.222)
Hg (0.483, 0.483, 0.778)
Er (0.828, 0.828, 0.925)
Er (0.172, 0.172, 0.075)

- spin magnetization (μB/atom) = 0.00

Record 8
A geometry-optimized ZrZnCuAg structure, computed with PBE.

abc: 4.546 4.546 4.546
angles: 60.00 60.00 60.00
Element x y z (fractional)
Zr (0.500, 0.500, 0.500)
Zn (0.000, 0.000, 0.000)
Cu (0.750, 0.750, 0.750)
Ag (0.250, 0.250, 0.250)

- spin magnetization (μB/atom) = 0.00
- ΔH_f (0 K) (eV per atom) = -0.119
- energy above the lowest structure with this stoichiometry (meV per atom) = 0

Record 9
A geometry-optimized TaPd6W structure, computed with PBE.

abc: 4.580 5.484 4.858
angles: 90.00 90.00 90.00
Element x y z (fractional)
Pd (0.000, 0.748, 0.664)
Pd (0.500, 0.252, 0.338)
Pd (0.000, 0.252, 0.664)
Pd (0.000, 0.500, 0.151)
Pd (0.500, 0.748, 0.338)
Pd (0.500, 0.000, 0.842)
W (0.500, 0.500, 0.843)
Ta (0.000, 0.000, 0.160)

- spin magnetization (μB/atom) = 0.00
- ΔH_f (0 K) (eV per atom) = -0.272

Record 10
A geometry-optimized ErTlB structure, computed with PBE.

abc: 4.382 4.382 4.382
angles: 60.00 60.00 60.00
Element x y z (fractional)
B (0.000, 0.000, 0.000)
Tl (0.750, 0.750, 0.750)
Er (0.250, 0.250, 0.250)

- spin magnetization (μB/atom) = 0.01
- energy above the lowest structure with this stoichiometry (meV per atom) = 0

Record 11
A geometry-optimized HoNp structure, computed with PBE.

abc: 3.322 3.322 5.717
angles: 90.00 90.00 120.00
Element x y z (fractional)
Ho (0.667, 0.333, 0.750)
Np (0.333, 0.667, 0.250)

- spin magnetization (μB/atom) = 2.17
- ΔH_f (0 K) (eV per atom) = 0.438
- energy above the lowest structure with this stoichiometry (meV per atom) = 0

Record 12
A geometry-optimized LaAgOs structure, computed with PBE.

abc: 4.697 4.697 4.697
angles: 60.00 60.00 60.00
Element x y z (fractional)
Ag (0.000, 0.000, 0.000)
La (0.250, 0.250, 0.250)
Os (0.750, 0.750, 0.750)

- spin magnetization (μB/atom) = 0.12
- ΔH_f (0 K) (eV per atom) = 0.727
- energy above the lowest structure with this stoichiometry (meV per atom) = 0

Record 13
A geometry-optimized AlCdGaSe3S structure, computed with PBE.

abc: 5.782 5.823 6.743
angles: 115.49 114.32 90.76
Element x y z (fractional)
Ga (0.244, 0.756, 0.503)
Se (0.633, 0.630, 0.722)
Se (0.373, 0.915, 0.273)
Se (0.896, 0.361, 0.273)
Al (0.003, 0.002, 0.994)
S (0.105, 0.092, 0.738)
Cd (0.494, 0.494, 0.997)

Record 14
A geometry-optimized GaPIrO structure, computed with PBE.

abc: 3.426 6.201 5.625
angles: 90.00 90.00 90.00
Element x y z (fractional)
P (0.000, 0.736, 0.376)
P (0.000, 0.264, 0.876)
Ir (0.500, 0.557, 0.545)
Ir (0.500, 0.443, 0.045)
O (0.500, 0.761, 0.853)
O (0.500, 0.239, 0.353)
Ga (0.000, 0.116, 0.480)
Ga (0.000, 0.884, 0.980)

- spin magnetization (μB/atom) = 0.04
- energy above the lowest structure with this stoichiometry (meV per atom) = 289

Record 15
A geometry-optimized RbBaNdSe3 structure, computed with PBE.

abc: 10.208 10.208 12.562
angles: 90.00 90.00 154.54
Element x y z (fractional)
Rb (0.370, 0.630, 0.250)
Rb (0.630, 0.370, 0.750)
Se (0.599, 0.401, 0.496)
Se (0.599, 0.401, 0.004)
Se (0.001, 0.999, 0.250)
Se (0.401, 0.599, 0.996)
Se (0.401, 0.599, 0.504)
Se (0.999, 0.001, 0.750)
Ba (0.608, 0.392, 0.250)
Ba (0.392, 0.608, 0.750)
Nd (0.000, 0.000, 0.000)
Nd (0.000, 0.000, 0.500)

- spin magnetization (μB/atom) = 0.00

Record 16
A geometry-optimized GdCo3 structure, computed with PBE.

abc: 4.980 4.980 8.623
angles: 106.78 73.22 120.00
Element x y z (fractional)
Co (0.920, 0.581, 0.243)
Co (0.080, 0.419, 0.757)
Co (0.419, 0.080, 0.243)
Co (0.419, 0.581, 0.243)
Co (0.581, 0.419, 0.757)
Co (0.500, 0.500, 0.500)
Co (0.581, 0.920, 0.757)
Co (0.666, 0.334, 0.002)
Co (0.334, 0.666, 0.998)
Gd (0.000, 0.000, 0.000)
Gd (0.140, 0.860, 0.580)
Gd (0.860, 0.140, 0.420)

- spin magnetization (μB/atom) = 0.00
- ΔH_f (0 K) (eV per atom) = -0.081
- energy above the lowest structure with this stoichiometry (meV per atom) = 0

Record 17
A geometry-optimized ScBeSnIr structure, computed with PBE.

abc: 4.524 4.524 4.524
angles: 60.00 60.00 60.00
Element x y z (fractional)
Sn (0.500, 0.500, 0.500)
Sc (0.250, 0.250, 0.250)
Be (0.750, 0.750, 0.750)
Ir (0.000, 0.000, 0.000)

- spin magnetization (μB/atom) = 0.00
- energy above the lowest structure with this stoichiometry (meV per atom) = 156

Record 18
A geometry-optimized TmMoAu structure, computed with PBE.

abc: 4.613 4.613 4.613
angles: 60.00 60.00 60.00
Element x y z (fractional)
Tm (0.500, 0.500, 0.500)
Au (0.000, 0.000, 0.000)
Mo (0.750, 0.750, 0.750)

- spin magnetization (μB/atom) = 0.90
- ΔH_f (0 K) (eV per atom) = 0.622
- energy above the lowest structure with this stoichiometry (meV per atom) = 0

Record 19
A geometry-optimized NaNi4As2 structure, computed with PBE.

abc: 7.261 7.261 3.681
angles: 90.00 90.00 90.00
Element x y z (fractional)
As (0.225, 0.225, 0.500)
As (0.725, 0.275, 0.000)
As (0.775, 0.775, 0.500)
As (0.275, 0.725, 0.000)
Ni (0.082, 0.659, 0.500)
Ni (0.659, 0.082, 0.500)
Ni (0.918, 0.341, 0.500)
Ni (0.159, 0.418, 0.000)
Ni (0.841, 0.582, 0.000)
Ni (0.341, 0.918, 0.500)
Ni (0.582, 0.841, 0.000)
Ni (0.418, 0.159, 0.000)
Na (0.000, 0.000, 0.000)
Na (0.500, 0.500, 0.500)

- spin magnetization (μB/atom) = 0.00

Record 20
A geometry-optimized HoSc2Ni9 structure, computed with PBE.

abc: 8.391 8.391 8.391
angles: 33.62 33.62 33.62
Element x y z (fractional)
Ni (0.586, 0.586, 0.082)
Ni (0.918, 0.414, 0.414)
Ni (0.500, 0.500, 0.500)
Ni (0.667, 0.667, 0.667)
Ni (0.586, 0.082, 0.586)
Ni (0.414, 0.918, 0.414)
Ni (0.082, 0.586, 0.586)
Ni (0.414, 0.414, 0.918)
Ni (0.333, 0.333, 0.333)
Sc (0.859, 0.859, 0.859)
Sc (0.141, 0.141, 0.141)
Ho (0.000, 0.000, 0.000)

- spin magnetization (μB/atom) = 0.08
- ΔH_f (0 K) (eV per atom) = -0.458

Record 21
A geometry-optimized Zn2SeO structure, computed with PBE.

abc: 3.431 5.828 6.287
angles: 90.00 74.17 90.00
Element x y z (fractional)
Se (0.763, 0.750, 0.473)
Se (0.237, 0.250, 0.527)
Zn (0.119, 0.750, 0.763)
Zn (0.881, 0.250, 0.237)
Zn (0.424, 0.750, 0.151)
Zn (0.576, 0.250, 0.849)
O (0.000, 0.000, 0.000)
O (0.000, 0.500, 0.000)

- energy above the lowest structure with this stoichiometry (meV per atom) = 424

Record 22
A geometry-optimized Na3Zn4 structure, computed with PBE.

abc: 8.606 8.590 4.325
angles: 90.00 90.00 59.99
Element x y z (fractional)
Na (0.618, 0.327, 0.500)
Na (0.334, 0.911, 0.000)
Na (0.327, 0.476, 0.000)
Na (0.186, 0.768, 0.500)
Na (0.766, 0.470, 0.000)
Na (0.625, 0.762, 0.500)
Zn (0.034, 0.506, 0.500)
Zn (0.141, 0.287, 0.000)
Zn (0.811, 0.951, 0.500)
Zn (0.918, 0.732, 0.000)
Zn (0.590, 0.064, 0.000)
Zn (0.921, 0.061, 0.000)
Zn (0.362, 0.174, 0.500)
Zn (0.031, 0.178, 0.500)

- energy above the lowest structure with this stoichiometry (meV per atom) = 0

Record 23
A geometry-optimized Nb4SiSnN2 structure, computed with PBE.

abc: 3.252 3.252 12.966
angles: 90.00 90.00 120.00
Element x y z (fractional)
Sn (0.667, 0.333, 0.500)
Nb (0.000, 0.000, 0.680)
Nb (0.667, 0.333, 0.144)
Nb (0.000, 0.000, 0.320)
Nb (0.667, 0.333, 0.856)
N (0.333, 0.667, 0.236)
N (0.333, 0.667, 0.764)
Si (0.000, 0.000, 0.000)

- spin magnetization (μB/atom) = 0.00

Record 24
A geometry-optimized TbGa2NiIr2 structure, computed with PBE.

abc: 5.336 5.336 3.885
angles: 90.00 90.00 116.40
Element x y z (fractional)
Ir (0.000, 0.500, 0.000)
Ir (0.500, 0.000, 0.000)
Ga (0.658, 0.342, 0.500)
Ga (0.342, 0.658, 0.500)
Ni (0.500, 0.500, 0.000)
Tb (0.000, 0.000, 0.500)

- spin magnetization (μB/atom) = 0.00

Calculated total energy for every record listed, in sequence, given in eV per atom: -4.55; -4.69; -4.20; -8.01; -2.64; -4.55; -3.83; -4.21; -7.25; -4.29; -8.24; -5.60; -3.93; -5.94; -4.58; -6.57; -5.93; -5.57; -5.01; -6.07; -3.22; -1.23; -8.92; -6.32.